[1]
DFT (PBE-GGA) results for a relaxed CsSnSe3 crystal.

Computed properties:
E above lowest polymorph = 161 kJ/mol of formula units
Fermi-level density of states = 1.02 states/eV per atom
Theoretical density = 4.95 g/cm³
Raw total energy = -3.43 eV/atom

Cell and atoms, written as POSCAR:
```
CsSnSe3
1.0
5.473 0.000 0.000
0.000 5.473 0.000
0.000 0.000 5.473
Cs Sn Se
1 1 3
Cartesian
0.000 0.000 0.000
2.737 2.737 2.737
0.000 2.737 2.737
2.737 0.000 2.737
2.737 2.737 0.000
```

[2]
DFT (PBE-GGA) results for a relaxed CsSnSe crystal.

Computed properties:
Fermi-level density of states = 0.63 states/eV per atom
Theoretical density = 4.30 g/cm³
Raw total energy = -3.22 eV/atom

Cell and atoms, written as POSCAR:
```
CsSnSe
1.0
4.854 0.000 0.000
2.426 4.298 0.000
0.053 2.516 12.225
Cs Sn Se
2 2 2
Cartesian
0.000 0.000 0.000
2.423 3.981 4.902
2.491 3.989 9.163
4.917 5.438 8.291
2.421 1.643 2.265
4.848 2.331 2.676
```

[3]
DFT (PBE-GGA) results for a relaxed Cs2SrSnSe4 crystal.

Computed properties:
Fermi-level density of states = 0.00 states/eV per atom
Theoretical density = 3.60 g/cm³
Raw total energy = -3.74 eV/atom

Cell and atoms, written as POSCAR:
```
Cs2SrSnSe4
1.0
0.000 7.643 13.580
3.497 0.000 13.580
3.497 7.643 0.000
Cs Sr Sn Se
4 2 2 8
Cartesian
2.623 5.732 1.619
4.371 9.554 8.409
2.623 5.732 18.751
4.371 9.554 25.541
0.874 1.911 3.395
6.120 13.376 23.765
2.623 5.732 10.185
4.371 9.554 16.975
4.073 4.150 8.755
4.073 7.315 11.615
5.822 7.971 18.405
5.822 11.137 15.545
1.172 4.150 11.615
1.172 7.315 8.755
2.921 7.971 15.545
2.921 11.137 18.405
```

[4]
DFT (PBE-GGA) results for a relaxed Cs4SrSn3Se9 crystal.

Computed properties:
Theoretical density = 4.40 g/cm³
Raw total energy = -3.83 eV/atom

Cell and atoms, written as POSCAR:
```
Cs4SrSn3Se9
1.0
7.458 4.306 3.304
-7.458 4.306 3.304
0.000 -8.612 3.304
Cs Sr Sn Se
4 1 3 9
Cartesian
0.000 0.000 0.000
-3.215 -2.812 6.442
-0.828 4.191 6.442
4.043 -1.379 6.442
0.000 0.000 4.521
-4.355 1.415 5.756
0.952 -4.479 5.756
3.403 3.064 5.756
-4.618 1.226 3.170
-1.705 -2.077 2.837
1.247 -4.612 3.170
-0.946 2.516 2.837
2.652 -0.438 2.837
-2.133 0.736 6.747
0.429 -2.215 6.747
3.370 3.386 3.170
1.704 1.479 6.747
```

[5]
DFT (PBE-GGA) results for a relaxed Cs2SrSn2Se4 crystal.

Computed properties:
Theoretical density = 4.57 g/cm³
Raw total energy = -3.91 eV/atom

Cell and atoms, written as POSCAR:
```
Cs2SrSn2Se4
1.0
9.330 -2.162 0.000
9.330 2.162 0.000
-4.218 0.000 8.161
Cs Sr Sn Se
2 1 2 4
Cartesian
2.037 0.000 0.392
12.404 0.000 7.769
-2.109 0.000 4.081
3.826 0.000 3.731
10.615 0.000 4.430
0.348 0.000 5.989
5.591 0.000 5.724
8.851 0.000 2.437
14.094 0.000 2.172
```

[6]
DFT (PBE-GGA) results for a relaxed CsSrSnSe3 crystal.

Computed properties:
Fermi-level density of states = 0.21 states/eV per atom
Theoretical density = 4.09 g/cm³
Raw total energy = -4.03 eV/atom

Cell and atoms, written as POSCAR:
```
CsSrSnSe3
1.0
2.455 -7.913 0.000
2.455 7.913 0.000
0.000 0.000 12.043
Cs Sr Sn Se
2 2 2 6
Cartesian
2.455 3.988 9.032
2.455 -3.988 3.011
0.000 0.000 0.000
0.000 0.000 6.021
2.455 0.292 3.011
2.455 -0.292 9.032
2.455 6.958 3.011
2.455 1.863 0.928
2.455 1.863 5.094
2.455 -1.863 6.949
2.455 -1.863 11.115
2.455 -6.958 9.032
```

Quick rundown of ΔE_f (raw), same order as above: -0.366; -0.444; -1.077; -0.979; -1.097; -1.201 eV/atom